[1]
Entry from Alexandria via LeMat-Bulk: H4PdPtRh after structural relaxation (GGA-PBE).

Computed properties:
Total magnetization, μB/atom: 0.00
Space group: No. 11
Electronic total energy, eV/atom: -4.470
Crystal system: monoclinic

abc: 5.435 4.340 5.728
angles: 90.00 117.15 90.00
Fractional coordinates of all 14 atoms:
H (0.040, 0.502, 0.705)
H (0.960, 0.002, 0.295)
H (0.960, 0.498, 0.295)
H (0.040, 0.998, 0.705)
H (0.413, 0.750, 0.074)
H (0.587, 0.250, 0.926)
H (0.404, 0.750, 0.533)
H (0.596, 0.250, 0.467)
Pd (0.772, 0.750, 0.442)
Pd (0.228, 0.250, 0.558)
Pt (0.142, 0.750, 0.196)
Pt (0.858, 0.250, 0.804)
Rh (0.578, 0.750, 0.872)
Rh (0.422, 0.250, 0.128)

---

[2]
Entry from Alexandria via LeMat-Bulk: Fe2TcP after structural relaxation (GGA-PBE).

Computed properties:
Total magnetization, μB/atom: 0.99
Calculated formation energy, eV per atom: 0.023
Space group: No. 65
Electronic total energy, eV/atom: -8.152
Crystal system: orthorhombic

abc: 4.491 4.491 2.721
angles: 90.00 90.00 115.46
Fractional coordinates of all 4 atoms:
Fe (0.000, 0.000, 0.000)
Fe (0.500, 0.500, 0.000)
P (0.500, 0.000, 0.500)
Tc (0.000, 0.500, 0.500)

---

[3]
Entry from Alexandria via LeMat-Bulk: La2InIrI after structural relaxation (GGA-PBE).

Computed properties:
Formation energy from raw total energies, meV/atom: -673
Total magnetization, μB/atom: 0.00
Space group: No. 123
Electronic total energy, eV/atom: -5.274
Crystal system: tetragonal

abc: 5.657 5.657 5.171
angles: 90.00 90.00 90.00
Fractional coordinates of all 5 atoms:
I (0.500, 0.500, 0.500)
Ir (0.000, 0.000, 0.000)
In (0.000, 0.000, 0.500)
La (0.000, 0.500, 0.000)
La (0.500, 0.000, 0.000)

---

[4]
Entry from Alexandria via LeMat-Bulk: Ca2AgI after structural relaxation (GGA-PBE).

Computed properties:
Formation energy from raw total energies, meV/atom: -661
Offset from the most stable computed form, eV/atom: 0.0048
Total magnetization, μB/atom: 0.00
Space group: No. 160
Electronic total energy, eV/atom: -2.762
Crystal system: trigonal

abc: 4.266 4.266 8.695
angles: 75.80 75.80 60.00
Fractional coordinates of all 4 atoms:
Ca (0.071, 0.071, 0.788)
Ca (0.264, 0.264, 0.208)
Ag (0.668, 0.668, 0.996)
I (0.497, 0.497, 0.508)

---

[5]
Entry from Alexandria via LeMat-Bulk: Sm3ErAl2 after structural relaxation (GGA-PBE).

Computed properties:
Offset from the most stable computed form, eV/atom: 0.0769
Total magnetization, μB/atom: 0.00
Calculated formation energy, eV per atom: -0.194
Space group: No. 65
Electronic total energy, eV/atom: -4.562
Crystal system: orthorhombic

abc: 4.901 8.829 9.075
angles: 119.11 105.67 90.00
Fractional coordinates of all 12 atoms:
Sm (0.500, 0.250, 0.000)
Sm (0.500, 0.750, 0.000)
Sm (0.825, 0.075, 0.649)
Sm (0.175, 0.425, 0.351)
Sm (0.175, 0.925, 0.351)
Sm (0.825, 0.575, 0.649)
Er (0.000, 0.500, 0.000)
Er (0.000, 0.000, 0.000)
Al (0.346, 0.346, 0.692)
Al (0.654, 0.154, 0.308)
Al (0.346, 0.846, 0.692)
Al (0.654, 0.654, 0.308)

---

[6]
Entry from Alexandria via LeMat-Bulk: Pm2OsI after structural relaxation (GGA-PBE).

Computed properties:
Formation energy from raw total energies, meV/atom: -446
Offset from the most stable computed form, eV/atom: 0.0366
Total magnetization, μB/atom: 0.00
Space group: No. 123
Electronic total energy, eV/atom: -6.017
Crystal system: tetragonal

abc: 3.535 3.535 8.573
angles: 90.00 90.00 90.00
Fractional coordinates of all 4 atoms:
I (0.500, 0.500, 0.500)
Os (0.500, 0.500, 0.000)
Pm (0.000, 0.000, 0.799)
Pm (0.000, 0.000, 0.201)

---

[7]
Entry from Alexandria via LeMat-Bulk: Be3TlCl after structural relaxation (GGA-PBE).

Computed properties:
Formation energy from raw total energies, meV/atom: 1150
Offset from the most stable computed form, eV/atom: 0.3263
Total magnetization, μB/atom: 0.00
Space group: No. 221
Electronic total energy, eV/atom: -1.928
Crystal system: cubic

abc: 4.344 4.344 4.344
angles: 90.00 90.00 90.00
Fractional coordinates of all 5 atoms:
Be (0.000, 0.500, 0.000)
Be (0.000, 0.000, 0.500)
Be (0.500, 0.000, 0.000)
Tl (0.500, 0.500, 0.500)
Cl (0.000, 0.000, 0.000)

---

[8]
Entry from Alexandria via LeMat-Bulk: HgTe2PbN after structural relaxation (GGA-PBE).

Computed properties:
Formation energy from raw total energies, meV/atom: 852
Offset from the most stable computed form, eV/atom: 0.0000
Total magnetization, μB/atom: 0.37
Space group: No. 123
Electronic total energy, eV/atom: -2.871
Crystal system: tetragonal

abc: 5.859 5.859 4.228
angles: 90.00 90.00 90.00
Fractional coordinates of all 5 atoms:
Pb (0.500, 0.500, 0.500)
Te (0.000, 0.500, 0.000)
Te (0.500, 0.000, 0.000)
Hg (0.000, 0.000, 0.000)
N (0.000, 0.000, 0.500)

---

What is the total magnetization in the third record?
0.00 μB/atom

---

total magnetization of number 2 (Fe2TcP)?
0.99 μB/atom

---

The highest electronic total energy belongs to which entry?
Be3TlCl

---

The highest total magnetization belongs to which entry?
Fe2TcP